Here is a relaxed Cr2O3 crystal from Alexandria. Energies are from PBE with a Hubbard U.

Properties
total DFT energy (no corrections): -0.280 Ha/atom
V: 14.51 A^3/atom

Unit cell a=9.6788 b=6.2773 c=5.2572 alpha=90.00 beta=114.71 gamma=90.00
With the nearest neighbours (Å) after each atom.
Space group C2/c (No. 15)
Inequivalent atoms, fractional coordinates:
1 Cr 0.1502 0.1084 0.0673 x8  5 O 1.92-2.06
2 O 0.0000 0.0728 0.2500 x4  4 Cr 2.04-2.06
3 O 0.2404 0.3857 0.1760 x8  3 Cr 1.92-1.97